[1]
Material: Ba2ScO3F
Method: DFT, GGA-PBE
State: relaxed

Summary:
Final energy, eV/atom: -6.98
Distance to the lowest polymorph of the same formula, eV per formula unit: 0.69
V, Å³/cell: 119
DOS(E_F), states/eV/cell: 0.0
Uncorrected formation energy, meV/atom: -3129

Cell: 4.1890 4.1878 7.4242 Å, 106.38 106.39 90.00°
Atoms (fractional coordinates):
1 Sc 0.0000 0.0000 0.0000
2 O 0.0000 0.5000 0.0000
3 F 0.5000 0.0000 0.0000
4 O 0.8436 0.8436 0.6871
5 Ba 0.6498 0.6498 0.2996
6 Ba 0.3502 0.3502 0.7004
7 O 0.1564 0.1564 0.3129



[2]
Material: YMg2Cr
Method: DFT, GGA-PBE
State: relaxed

Summary:
Final energy, eV/atom: -4.60
Energy relative to the elements, meV per atom: 217.8
V, Å³/cell: 91
DOS(E_F), states/eV/cell: 4.2

Cell: 3.3884 3.3884 7.9625 Å, 90.00 90.00 90.00°
Site moments in Bohr magnetons follow the coordinates.
Atoms (fractional coordinates):
1 Y 0.0000 0.0000 0.5372  -0.16
2 Cr 0.5000 0.5000 0.7703  3.08
3 Mg 0.0000 0.0000 0.9685  -0.02
4 Mg 0.5000 0.5000 0.2240  0.00



[3]
Material: UGaPd6
Method: DFT, GGA-PBE
State: relaxed

Summary:
Final energy, eV/atom: -6.07
Distance to the lowest polymorph of the same formula, eV per formula unit: 1.14
Energy relative to the elements, meV per atom: -382.1
V, Å³/cell: 137
DOS(E_F), states/eV/cell: 8.0

Cell: 7.0434 7.5990 5.1705 Å, 42.85 46.97 57.35°
Site moments in Bohr magnetons follow the coordinates.
Atoms (fractional coordinates):
1 Pd 0.4442 0.2532 0.3684  -0.03
2 Pd 0.5558 0.7468 0.6316  -0.03
3 Ga 0.5000 0.5000 0.5000  0.00
4 Pd 0.2534 0.0677 0.2361  -0.03
5 U 0.0000 0.0000 0.0000  1.54
6 Pd 0.0661 0.5565 0.1237  -0.03
7 Pd 0.7466 0.9323 0.7639  -0.03
8 Pd 0.9339 0.4435 0.8763  -0.03



Repeat the first record exactly.
Material: Ba2ScO3F
Method: DFT, GGA-PBE
State: relaxed

Summary:
Final energy, eV/atom: -6.98
Distance to the lowest polymorph of the same formula, eV per formula unit: 0.69
V, Å³/cell: 119
DOS(E_F), states/eV/cell: 0.0
Uncorrected formation energy, meV/atom: -3129

Cell: 4.1890 4.1878 7.4242 Å, 106.38 106.39 90.00°
Atoms (fractional coordinates):
1 Sc 0.0000 0.0000 0.0000
2 O 0.0000 0.5000 0.0000
3 F 0.5000 0.0000 0.0000
4 O 0.8436 0.8436 0.6871
5 Ba 0.6498 0.6498 0.2996
6 Ba 0.3502 0.3502 0.7004
7 O 0.1564 0.1564 0.3129



- Among the records above, which one has the lowest final energy?
  Ba2ScO3F



- Which formula does entry 3 have?
  UGaPd6



Copy entry 2 word for word.
Material: YMg2Cr
Method: DFT, GGA-PBE
State: relaxed

Summary:
Final energy, eV/atom: -4.60
Energy relative to the elements, meV per atom: 217.8
V, Å³/cell: 91
DOS(E_F), states/eV/cell: 4.2

Cell: 3.3884 3.3884 7.9625 Å, 90.00 90.00 90.00°
Site moments in Bohr magnetons follow the coordinates.
Atoms (fractional coordinates):
1 Y 0.0000 0.0000 0.5372  -0.16
2 Cr 0.5000 0.5000 0.7703  3.08
3 Mg 0.0000 0.0000 0.9685  -0.02
4 Mg 0.5000 0.5000 0.2240  0.00